DFT (PBE) results for an optimized crystal structure of Cr5Re3.

Properties
**E_tot**: -10.644 eV/atom
**Energy relative to the elements**: 39 meV/atom
**Relative energy among the computed polymorphs**: 0.00 kcal/mol of atoms

Cell: 5.133 5.133 5.133 Å, 109.47 109.47 109.47°
Site moments in Bohr magnetons follow the coordinates.
Positions (direct):
Cr: 0.000 0.000 0.000  0.86
Cr: 0.000 0.500 0.000  -0.20
Cr: 0.500 0.500 0.500  -0.20
Cr: 0.000 0.000 0.500  -0.20
Cr: 0.500 0.000 0.000  -0.20
Re: 0.000 0.500 0.500  0.10
Re: 0.500 0.000 0.500  0.10
Re: 0.500 0.500 0.000  0.10